This record from the Alexandria database describes an optimized crystal structure of CaTl3Cr. The functional is PBE.

a b c (Å): 5.237 5.237 5.237
angles (deg): 90.00 90.00 90.00
Fractional positions:
Ca1 0.000 0.000 0.000
Tl1 0.000 0.500 0.500
Tl2 0.500 0.000 0.500
Tl3 0.500 0.500 0.000
Cr1 0.500 0.500 0.500

Summary:
energy: -3.500 eV per atom
spin magnetization: 1.6 μB/f.u.

=====

This record from the Alexandria database describes an optimized crystal structure of ZrPIO2. The functional is PBE.

a b c (Å): 3.993 3.993 5.840
angles (deg): 90.00 90.00 90.00
Fractional positions:
Zr1 0.000 0.000 0.000
P1 0.500 0.500 0.000
I1 0.500 0.500 0.500
O1 0.000 0.500 0.500
O2 0.500 0.000 0.500

Summary:
energy: -5.041 eV per atom
spin magnetization: 1.0 μB/f.u.
formation energy (no corrections): 0.044 eV per atom

=====

This record from the Alexandria database describes an optimized crystal structure of Mg7Cd2Ag2. The functional is PBE.

a b c (Å): 6.707 6.707 5.754
angles (deg): 102.13 102.13 79.65
Fractional positions:
Mg1 0.000 0.000 0.000
Mg2 0.062 0.424 0.258
Mg3 0.424 0.062 0.258
Mg4 0.480 0.480 0.741
Mg5 0.520 0.520 0.259
Mg6 0.576 0.938 0.742
Mg7 0.938 0.576 0.742
Cd1 0.173 0.827 0.500
Cd2 0.827 0.173 0.500
Ag1 0.233 0.233 0.841
Ag2 0.767 0.767 0.159

Summary:
energy: -1.739 eV per atom
spin magnetization: 0.0 μB/f.u.

=====

This record from the Alexandria database describes an optimized crystal structure of Dy3Pa. The functional is PBE.

a b c (Å): 6.035 6.035 6.035
angles (deg): 132.11 132.11 70.06
Fractional positions:
Dy1 0.000 0.000 0.000
Dy2 0.250 0.750 0.500
Dy3 0.750 0.250 0.500
Pa1 0.500 0.500 0.000

Summary:
energy: -5.584 eV per atom
spin magnetization: 0.6 μB/f.u.

=====

This record from the Alexandria database describes an optimized crystal structure of Sb2OsCl. The functional is PBE.

a b c (Å): 7.836 7.836 7.836
angles (deg): 132.04 132.04 70.17
Fractional positions:
Sb1 0.041 0.625 0.916
Sb2 0.375 0.291 0.416
Sb3 0.709 0.125 0.084
Sb4 0.875 0.959 0.584
Os1 0.000 0.000 0.000
Os2 0.750 0.250 0.500
Cl1 0.250 0.750 0.500
Cl2 0.500 0.500 0.000

Summary:
energy: -4.998 eV per atom
spin magnetization: 0.0 μB/f.u.
formation energy (no corrections): 0.332 eV per atom

=====

This record from the Alexandria database describes an optimized crystal structure of NaCu2H4. The functional is PBE.

a b c (Å): 4.596 4.596 9.242
angles (deg): 90.00 90.00 143.31
Fractional positions:
Na1 0.097 0.903 0.750
Na2 0.903 0.097 0.250
Cu1 0.365 0.635 0.559
Cu2 0.365 0.635 0.941
Cu3 0.635 0.365 0.059
Cu4 0.635 0.365 0.441
H1 0.000 0.000 0.000
H2 0.000 0.000 0.500
H3 0.253 0.747 0.099
H4 0.253 0.747 0.401
H5 0.396 0.604 0.750
H6 0.604 0.396 0.250
H7 0.747 0.253 0.599
H8 0.747 0.253 0.901

Summary:
energy: -3.185 eV per atom
spin magnetization: 0.0 μB/f.u.

=====

This record from the Alexandria database describes an optimized crystal structure of SrRu3Se. The functional is PBE.

a b c (Å): 4.649 4.649 4.649
angles (deg): 90.00 90.00 90.00
Fractional positions:
Sr1 0.000 0.000 0.000
Ru1 0.000 0.500 0.500
Ru2 0.500 0.000 0.500
Ru3 0.500 0.500 0.000
Se1 0.500 0.500 0.500

Summary:
energy: -6.112 eV per atom
spin magnetization: 0.0 μB/f.u.
formation energy (no corrections): 0.487 eV per atom

=====

This record from the Alexandria database describes an optimized crystal structure of SnTePd6. The functional is PBE.

a b c (Å): 4.060 4.060 8.163
angles (deg): 90.00 90.00 90.00
Fractional positions:
Sn1 0.000 0.000 0.000
Te1 0.000 0.000 0.500
Pd1 0.000 0.500 0.244
Pd2 0.000 0.500 0.756
Pd3 0.500 0.000 0.244
Pd4 0.500 0.000 0.756
Pd5 0.500 0.500 0.000
Pd6 0.500 0.500 0.500

Summary:
energy: -5.119 eV per atom
spin magnetization: 0.0 μB/f.u.
formation energy (no corrections): -0.331 eV per atom